The following is a GGA+U calculation of a relaxed structure of Cr2CoPbO8, from the Alexandria database.

abc: 5.508 5.508 6.802
angles: 90.00 90.00 120.00
Last column: magnetic moment on the atom in μB.
Sites, in units of the cell vectors:
O 0.834 0.669 0.314  0.06
O 0.333 0.667 0.004  0.01
O 0.667 0.333 0.996  0.01
O 0.669 0.834 0.686  0.06
O 0.166 0.834 0.686  0.06
O 0.166 0.331 0.686  0.06
O 0.834 0.166 0.314  0.06
O 0.331 0.166 0.314  0.06
Cr 0.667 0.333 0.238  -0.07
Cr 0.333 0.667 0.762  -0.07
Pb 0.000 0.000 0.000  0.00
Co 0.000 0.000 0.500  2.73

Output
Raw total energy ... -6.4475 eV per atom
N(E_F) ... 0.288 states/eV per atom